Entry 1:
Below is a relaxed structure of NbZnSn, with properties calculated at the PBE-GGA level.

```
NbZnSn
1.0
-1.4701 1.4701 7.1639
1.4701 -1.4701 7.1639
1.4701 1.4701 -7.1639
Nb Zn Sn
1 1 1
Direct
0.0000 0.0000 0.0000
0.3689 0.3689 0.0000
0.6643 0.6643 0.0000
```

Summary:
Uncorrected energy (eV/atom): -4.97
Space group: I4mm (107)
E_form (meV per atom): 148

Entry 2:
Below is a relaxed structure of NbZnSn3, with properties calculated at the PBE-GGA level.

```
NbZnSn3
1.0
5.4011 0.0000 0.0000
0.0000 5.4011 0.0000
0.0000 0.0000 5.4011
Nb Zn Sn
1 1 3
Direct
0.0000 0.0000 0.0000
0.5000 0.5000 0.5000
0.0000 0.0000 0.5000
0.0000 0.5000 0.0000
0.5000 0.0000 0.0000
```

Summary:
Uncorrected energy (eV/atom): -4.29
Space group: Pm-3m (221)
E_form (meV per atom): 376
Excess energy over the best structure of this formula in the dataset (eV/atom): 0.000

Entry 3:
Below is a relaxed structure of Nb3ZnSn, with properties calculated at the PBE-GGA level.

```
Nb3ZnSn
1.0
5.0472 0.0000 0.0000
0.0000 5.0472 0.0000
0.0000 0.0000 5.0472
Nb Zn Sn
3 1 1
Direct
0.0000 0.0000 0.5000
0.0000 0.5000 0.0000
0.5000 0.0000 0.0000
0.5000 0.5000 0.5000
0.0000 0.0000 0.0000
```

Summary:
Uncorrected energy (eV/atom): -5.42
Space group: Pm-3m (221)
E_form (meV per atom): 1678
Excess energy over the best structure of this formula in the dataset (eV/atom): 0.802